Crystalline HfCrO4 at its relaxed geometry. Source: the Alexandria database, functional PBE with a Hubbard U.

Unit cell a=6.493 b=10.377 c=4.840 alpha=90.00 beta=129.94 gamma=90.00
Space group C2/c (No. 15)
Symmetry-distinct sites (fractional):
Hf (0.000, 0.136, 0.250)
Cr (0.000, 0.409, 0.750)
O (0.154, 0.289, 0.643)
O (0.246, 0.030, 0.767)

Results
As for the total energy: -8.714 eV per atom.